The following is a GGA-PBE calculation of an optimized crystal structure of CeMo4P2, from Alexandria via LeMat-Bulk.

Properties
Fermi-level density of states	1.09	states/eV per atom
space group	Cmmm (65)
ΔE_f	-0.438	eV/atom
M_tot	0.3	μB/f.u.

Lattice parameters (Å, degrees): 4.255 4.346 6.887 108.39 90.00 90.00
Last column: magnetic moment on the atom in μB.
Element x y z (fractional)
Mo1 0.500 0.184 0.368  0.01
Mo2 0.500 0.816 0.632  0.01
Mo3 0.000 0.693 0.386  0.00
Mo4 0.000 0.307 0.614  0.00
P1 0.500 0.407 0.815  0.00
P2 0.500 0.593 0.185  0.00
Ce1 0.000 0.000 0.000  0.19


The following is a GGA-PBE calculation of an optimized crystal structure of CeMoP, from Alexandria via LeMat-Bulk.

Properties
Fermi-level density of states	1.65	states/eV per atom
space group	R-3m (166)
ΔE_f	-0.478	eV/atom
M_tot	0.6	μB/f.u.

Lattice parameters (Å, degrees): 4.138 4.138 8.211 75.41 75.41 60.00
Last column: magnetic moment on the atom in μB.
Element x y z (fractional)
Ce1 0.869 0.869 0.392  0.54
Ce2 0.131 0.131 0.608  0.54
P1 0.606 0.606 0.182  0.00
P2 0.394 0.394 0.818  0.00
Mo1 0.291 0.291 0.127  -0.01
Mo2 0.709 0.709 0.873  -0.01


The following is a GGA-PBE calculation of an optimized crystal structure of CeMoP2Rh, from Alexandria via LeMat-Bulk.

Properties
Fermi-level density of states	0.97	states/eV per atom
space group	I-4m2 (119)
ΔE_f	-0.934	eV/atom
M_tot	0.5	μB/f.u.

Lattice parameters (Å, degrees): 4.149 4.149 5.780 111.03 111.03 90.00
Last column: magnetic moment on the atom in μB.
Element x y z (fractional)
P1 0.630 0.630 0.259  -0.01
P2 0.370 0.370 0.741  -0.01
Rh1 0.750 0.250 0.500  -0.02
Ce1 0.000 0.000 0.000  0.46
Mo1 0.250 0.750 0.500  0.00


The following is a GGA-PBE calculation of an optimized crystal structure of CePa2Mo, from Alexandria via LeMat-Bulk.

Properties
Fermi-level density of states	1.75	states/eV per atom
space group	P4/mmm (123)
E above lowest polymorph	0.0	meV per atom
ΔE_f	0.091	eV/atom
M_tot	0.0	μB/f.u.

Lattice parameters (Å, degrees): 3.449 3.449 7.825 90.00 90.00 90.00
Element x y z (fractional)
Ce1 0.500 0.500 0.500
Pa1 0.000 0.000 0.778
Pa2 0.000 0.000 0.222
Mo1 0.500 0.500 0.000


The following is a GGA-PBE calculation of an optimized crystal structure of CePa2Mo, from Alexandria via LeMat-Bulk.

Properties
Fermi-level density of states	1.93	states/eV per atom
space group	P4/mmm (123)
E above lowest polymorph	116.9	meV per atom
ΔE_f	0.208	eV/atom
M_tot	0.0	μB/f.u.

Lattice parameters (Å, degrees): 3.297 5.191 5.191 90.00 90.00 90.00
Element x y z (fractional)
Mo1 0.500 0.500 0.500
Pa1 0.000 0.000 0.500
Pa2 0.000 0.500 0.000
Ce1 0.500 0.000 0.000


The following is a GGA-PBE calculation of an optimized crystal structure of CePa2Mo, from Alexandria via LeMat-Bulk.

Properties
Fermi-level density of states	3.04	states/eV per atom
space group	Fm-3m (225)
E above lowest polymorph	151.8	meV per atom
ΔE_f	0.243	eV/atom
M_tot	0.0	μB/f.u.

Lattice parameters (Å, degrees): 5.007 5.007 5.007 60.00 60.00 60.00
Element x y z (fractional)
Pa1 0.250 0.250 0.250
Pa2 0.750 0.750 0.750
Ce1 0.000 0.000 0.000
Mo1 0.500 0.500 0.500


The following is a GGA-PBE calculation of an optimized crystal structure of CePa2Mo, from Alexandria via LeMat-Bulk.

Properties
Fermi-level density of states	2.53	states/eV per atom
space group	R-3m (166)
E above lowest polymorph	195.6	meV per atom
ΔE_f	0.287	eV/atom
M_tot	0.0	μB/f.u.

Lattice parameters (Å, degrees): 3.156 3.156 10.775 81.58 81.58 60.00
Element x y z (fractional)
Ce1 0.000 0.000 0.000
Pa1 0.906 0.906 0.283
Pa2 0.094 0.094 0.717
Mo1 0.500 0.500 0.500


The following is a GGA-PBE calculation of an optimized crystal structure of CePaReMo, from Alexandria via LeMat-Bulk.

Properties
Fermi-level density of states	1.37	states/eV per atom
space group	F-43m (216)
ΔE_f	0.217	eV/atom
M_tot	0.0	μB/f.u.

Lattice parameters (Å, degrees): 4.915 4.915 4.915 60.00 60.00 60.00
Element x y z (fractional)
Mo1 0.000 0.000 0.000
Ce1 0.750 0.750 0.750
Re1 0.500 0.500 0.500
Pa1 0.250 0.250 0.250


The following is a GGA-PBE calculation of an optimized crystal structure of Ce6MoPb2, from Alexandria via LeMat-Bulk.

Properties
Fermi-level density of states	2.27	states/eV per atom
space group	C2/m (12)
ΔE_f	-0.121	eV/atom
M_tot	2.7	μB/f.u.

Lattice parameters (Å, degrees): 7.047 7.049 9.952 90.00 90.14 90.00
Last column: magnetic moment on the atom in μB.
Element x y z (fractional)
Ce1 0.997 0.000 0.230  0.40
Ce2 0.730 0.269 0.499  0.40
Ce3 0.269 0.269 0.501  0.40
Ce4 0.769 0.231 0.001  0.40
Ce5 0.731 0.731 0.499  0.40
Ce6 0.270 0.731 0.501  0.40
Ce7 0.770 0.769 0.001  0.40
Ce8 0.497 0.500 0.730  0.40
Ce9 0.503 0.500 0.270  0.40
Ce10 0.231 0.769 0.999  0.40
Ce11 0.003 0.000 0.770  0.40
Ce12 0.230 0.231 0.999  0.40
Pb1 0.502 0.000 0.750  -0.01
Pb2 0.002 0.500 0.250  -0.01
Pb3 0.498 0.000 0.250  -0.01
Pb4 0.998 0.500 0.750  -0.01
Mo1 0.500 0.500 0.000  -0.08
Mo2 0.000 0.000 0.500  -0.08


The following is a GGA-PBE calculation of an optimized crystal structure of CeZrMoPd, from Alexandria via LeMat-Bulk.

Properties
Fermi-level density of states	0.92	states/eV per atom
space group	F-43m (216)
ΔE_f	-0.203	eV/atom
M_tot	0.0	μB/f.u.

Lattice parameters (Å, degrees): 4.848 4.848 4.848 60.00 60.00 60.00
Element x y z (fractional)
Mo1 0.000 0.000 0.000
Zr1 0.250 0.250 0.250
Pd1 0.500 0.500 0.500
Ce1 0.750 0.750 0.750


The following is a GGA-PBE calculation of an optimized crystal structure of Ce2PuMo, from Alexandria via LeMat-Bulk.

Properties
Fermi-level density of states	2.49	states/eV per atom
space group	P4/mmm (123)
ΔE_f	0.214	eV/atom
M_tot	5.3	μB/f.u.

Lattice parameters (Å, degrees): 3.479 3.479 7.577 90.00 90.00 90.00
Last column: magnetic moment on the atom in μB.
Element x y z (fractional)
Mo1 0.500 0.500 0.000  -0.11
Ce1 0.000 0.000 0.225  0.04
Ce2 0.000 0.000 0.775  0.04
Pu1 0.500 0.500 0.500  5.12


The following is a GGA-PBE calculation of an optimized crystal structure of CePuMo, from Alexandria via LeMat-Bulk.

Properties
Fermi-level density of states	2.99	states/eV per atom
space group	I4mm (107)
ΔE_f	0.206	eV/atom
M_tot	4.3	μB/f.u.

Lattice parameters (Å, degrees): 3.452 3.452 5.833 107.21 107.21 90.00
Last column: magnetic moment on the atom in μB.
Element x y z (fractional)
Ce1 0.000 0.000 0.000  0.13
Mo1 0.674 0.674 0.348  -0.66
Pu1 0.326 0.326 0.652  4.72


The following is a GGA-PBE calculation of an optimized crystal structure of CePu2Mo, from Alexandria via LeMat-Bulk.

Properties
Fermi-level density of states	3.06	states/eV per atom
space group	P4/mmm (123)
ΔE_f	0.219	eV/atom
M_tot	9.9	μB/f.u.

Lattice parameters (Å, degrees): 3.432 3.432 7.382 90.00 90.00 90.00
Last column: magnetic moment on the atom in μB.
Element x y z (fractional)
Ce1 0.500 0.500 0.500  0.29
Pu1 0.000 0.000 0.775  4.89
Pu2 0.000 0.000 0.225  4.89
Mo1 0.500 0.500 0.000  -0.62


The following is a GGA-PBE calculation of an optimized crystal structure of Rb3Ce3MoS8, from Alexandria via LeMat-Bulk.

Properties
Fermi-level density of states	0.92	states/eV per atom
space group	R-3m (166)
formation energy without anion corrections	-1.501	eV/atom
M_tot	5.0	μB/f.u.

Lattice parameters (Å, degrees): 8.119 8.119 9.122 116.43 90.00 120.00
Last column: magnetic moment on the atom in μB.
Element x y z (fractional)
Ce1 0.500 0.500 0.500  -0.78
Ce2 0.000 0.500 0.500  -0.78
Ce3 0.500 0.000 0.500  -0.78
S1 0.267 0.535 0.302  0.02
S2 0.733 0.465 0.698  0.02
S3 0.754 0.967 0.680  0.01
S4 0.246 0.033 0.320  0.01
S5 0.213 0.427 0.680  0.01
S6 0.787 0.033 0.320  0.01
S7 0.787 0.573 0.320  0.01
S8 0.213 0.967 0.680  0.01
Rb1 0.000 0.500 0.000  0.00
Rb2 0.500 0.500 0.000  0.00
Rb3 0.000 0.000 0.000  0.00
Mo1 0.000 0.000 0.500  -2.18


The following is a GGA-PBE calculation of an optimized crystal structure of CeReMo, from Alexandria via LeMat-Bulk.

Properties
Fermi-level density of states	1.56	states/eV per atom
space group	I4mm (107)
E above lowest polymorph	88.0	meV per atom
ΔE_f	0.130	eV/atom
M_tot	0.0	μB/f.u.

Lattice parameters (Å, degrees): 3.124 3.124 6.356 104.22 104.22 90.00
Element x y z (fractional)
Ce1 0.998 0.998 0.995
Mo1 0.694 0.694 0.387
Re1 0.309 0.309 0.617


The following is a GGA-PBE calculation of an optimized crystal structure of CeReMo, from Alexandria via LeMat-Bulk.

Properties
Fermi-level density of states	1.23	states/eV per atom
space group	Imma (74)
E above lowest polymorph	0.0	meV per atom
ΔE_f	0.042	eV/atom
M_tot	0.0	μB/f.u.

Lattice parameters (Å, degrees): 5.882 5.386 5.386 64.21 56.90 56.90
Element x y z (fractional)
Mo1 0.000 0.000 0.000
Mo2 0.500 0.000 0.000
Ce1 0.127 0.623 0.623
Ce2 0.873 0.377 0.377
Re1 0.500 0.000 0.500
Re2 0.500 0.500 0.000


The following is a GGA-PBE calculation of an optimized crystal structure of Ce2Re3Mo, from Alexandria via LeMat-Bulk.

Properties
Fermi-level density of states	1.56	states/eV per atom
space group	C2/m (12)
ΔE_f	-0.001	eV/atom
M_tot	0.0	μB/f.u.

Lattice parameters (Å, degrees): 5.281 5.281 5.699 90.00 117.81 119.77
Element x y z (fractional)
Ce1 0.746 0.373 0.119
Ce2 0.254 0.627 0.881
Re1 0.000 0.000 0.500
Re2 0.500 0.000 0.500
Re3 0.500 0.500 0.500
Mo1 0.000 0.000 0.000


The following is a GGA-PBE calculation of an optimized crystal structure of CeReMo, from Alexandria via LeMat-Bulk.

Properties
Fermi-level density of states	1.42	states/eV per atom
space group	Fmmm (69)
E above lowest polymorph	234.1	meV per atom
ΔE_f	0.276	eV/atom
M_tot	0.0	μB/f.u.

Lattice parameters (Å, degrees): 5.365 5.365 5.305 106.12 106.12 116.79
Element x y z (fractional)
Ce1 0.344 0.656 0.000
Ce2 0.656 0.344 0.000
Re1 0.250 0.750 0.500
Re2 0.750 0.250 0.500
Mo1 0.852 0.852 0.705
Mo2 0.148 0.148 0.295


The following is a GGA-PBE calculation of an optimized crystal structure of CeMoRh, from Alexandria via LeMat-Bulk.

Properties
Fermi-level density of states	1.50	states/eV per atom
space group	Amm2 (38)
ΔE_f	0.055	eV/atom
M_tot	0.0	μB/f.u.

Lattice parameters (Å, degrees): 3.038 2.868 14.426 90.00 90.00 121.99
Element x y z (fractional)
Mo1 0.674 0.348 0.647
Mo2 0.674 0.348 0.353
Rh1 0.671 0.343 0.000
Rh2 0.310 0.620 0.500
Ce1 0.169 0.337 0.829
Ce2 0.169 0.337 0.171


The following is a GGA-PBE calculation of an optimized crystal structure of CeMoRu2, from Alexandria via LeMat-Bulk.

Properties
Fermi-level density of states	1.31	states/eV per atom
space group	R-3m (166)
ΔE_f	0.100	eV/atom
M_tot	0.0	μB/f.u.

Lattice parameters (Å, degrees): 4.591 4.591 4.674 60.59 60.59 60.00
Element x y z (fractional)
Ru1 0.234 0.234 0.298
Ru2 0.766 0.766 0.702
Mo1 0.500 0.500 0.500
Ce1 0.000 0.000 0.000